K4Zr6CBr18 | PBE | relaxed

Space-group type ... P-1, No. 2
Formation energy without anion corrections ... -35.00 kcal/mol of atoms
Electronic total energy ... -0.1762 Ha/atom

abc: 10.550 10.644 10.648
angles: 118.84 102.58 101.13
Fractional positions:
K1 0.151 0.229 0.039
K2 0.178 0.564 0.727
K3 0.822 0.436 0.273
K4 0.849 0.771 0.961
Zr1 0.351 0.775 0.449
Zr2 0.358 0.959 0.273
Zr3 0.374 0.137 0.633
Zr4 0.626 0.863 0.367
Zr5 0.642 0.041 0.727
Zr6 0.649 0.225 0.551
C1 0.500 0.000 0.500
Br1 0.162 0.497 0.384
Br2 0.167 0.692 0.178
Br3 0.178 0.905 0.992
Br4 0.184 0.898 0.591
Br5 0.193 0.108 0.390
Br6 0.221 0.303 0.793
Br7 0.472 0.584 0.289
Br8 0.482 0.798 0.087
Br9 0.492 0.788 0.702
Br10 0.508 0.212 0.298
Br11 0.518 0.202 0.913
Br12 0.528 0.416 0.711
Br13 0.779 0.697 0.207
Br14 0.807 0.892 0.610
Br15 0.816 0.102 0.409
Br16 0.822 0.095 0.008
Br17 0.833 0.308 0.822
Br18 0.838 0.503 0.616